*A*
Below is a relaxed Be2ReW2 crystal, with properties calculated at the PBE-GGA level.

```
Be2ReW2
1.0
7.228 0.000 0.000
0.000 7.228 0.000
0.000 0.000 2.583
W Be Re
4 4 2
Direct
0.874 0.626 0.000
0.374 0.874 0.000
0.626 0.126 0.000
0.126 0.374 0.000
0.672 0.828 0.500
0.828 0.328 0.500
0.172 0.672 0.500
0.328 0.172 0.500
0.500 0.500 0.000
0.000 0.000 0.000
```



*B*
Below is a relaxed Be2ReW2 crystal, with properties calculated at the PBE-GGA level.

```
Be2ReW2
1.0
2.974 0.000 0.000
0.000 2.974 0.000
1.487 1.487 7.605
Re Be W
1 2 2
Direct
0.000 0.000 0.000
0.250 0.750 0.500
0.750 0.250 0.500
0.612 0.612 0.777
0.388 0.388 0.223
```



*C*
Below is a relaxed Be2ReW2 crystal, with properties calculated at the PBE-GGA level.

```
Be2ReW2
1.0
6.194 0.000 0.000
0.000 6.194 0.000
0.000 0.000 3.204
Be W Re
4 4 2
Direct
0.120 0.380 0.000
0.380 0.880 0.000
0.620 0.120 0.000
0.880 0.620 0.000
0.173 0.673 0.500
0.827 0.327 0.500
0.673 0.827 0.500
0.327 0.173 0.500
0.500 0.500 0.000
0.000 0.000 0.000
```



Stability check: which of them is least stable? *A*.